[1]
A plane-wave DFT calculation with GGA-PBEsol was carried out for a geometry-optimized LiAsRh2O structure.

abc: 4.0945 4.0945 3.9933
angles: 90.00 90.00 90.00
Last column: nearest neighbours and their distance in Å.
Space group P4/mmm (No. 123)
Asymmetric unit:
Li 0.0000 0.0000 0.0000  2 As 2.00, 4 Rh 2.05
As 0.0000 0.0000 0.5000  2 Li 2.00
Rh 0.0000 0.5000 0.0000  2 Li 2.05
O 0.5000 0.5000 0.5000  8 Rh 2.86, 4 As 2.90


[2]
A plane-wave DFT calculation with GGA-PBEsol was carried out for a geometry-optimized Li2RuF6 structure.

abc: 4.6191 4.6191 9.0902
angles: 90.00 90.00 90.00
Last column: nearest neighbours and their distance in Å.
Space group P4_2/mnm (No. 136)
Asymmetric unit:
Li 0.0000 0.0000 0.1661  6 F 1.99-2.03
Ru 0.0000 0.0000 0.5000  6 F 1.91-1.94
F 0.1957 0.1957 0.3400  1 Ru 1.94, 2 Li 1.99-2.03
F 0.2083 0.2083 0.0000  1 Ru 1.91, 2 Li 2.03


Energy relative to the elements, uncorrected across the listed records, respectively: 5.46 -20.89 eV/f.u..